# 1
The following is a PBE calculation of an optimized crystal structure of Li3TbCu8, from Alexandria via LeMat-Bulk.

```
Li3TbCu8
1.0
-3.475 -0.877 3.481
0.109 -4.251 2.623
3.570 1.855 7.616
Li Cu Tb
3 8 1
Direct
0.006 0.006 0.981 Li
0.374 0.374 0.879 Li
0.488 0.488 0.535 Li
0.938 0.938 0.690 Cu
0.440 0.440 0.179 Cu
0.689 0.689 0.934 Cu
0.435 0.938 0.690 Cu
0.940 0.440 0.179 Cu
0.187 0.187 0.438 Cu
0.440 0.940 0.179 Cu
0.938 0.435 0.690 Cu
0.875 0.875 0.374 Tb
```

N(E_F) in states/eV/cell: 6.6
E_form in eV per formula unit: -1.43
Space-group type: R3m
Offset from the most stable computed form in meV/atom: 2

=====

# 2
The following is a PBE calculation of an optimized crystal structure of ErMgCd2, from Alexandria via LeMat-Bulk.

```
ErMgCd2
1.0
-0.712 3.093 1.458
-2.666 -1.434 1.741
4.692 -1.661 5.816
Mg Er Cd
1 1 2
Direct
0.500 0.500 0.000 Mg
0.500 0.500 0.500 Er
0.000 0.000 0.768 Cd
0.000 0.000 0.232 Cd
```

N(E_F) in states/eV/cell: 2.1
E_form in eV per formula unit: -0.90
Space-group type: P4/mmm
Offset from the most stable computed form in meV/atom: 67

=====

# 3
The following is a PBE calculation of an optimized crystal structure of AcLa3Dy2Te6, from Alexandria via LeMat-Bulk.

```
AcLa3Dy2Te6
1.0
-5.918 4.303 -2.857
-0.143 -2.462 7.458
5.523 5.571 0.561
Te La Dy Ac
6 3 2 1
Direct
0.432 0.082 0.245 Te
0.727 0.727 0.234 Te
0.918 0.568 0.755 Te
0.273 0.273 0.766 Te
0.568 0.918 0.755 Te
0.082 0.432 0.245 Te
0.500 0.500 0.500 La
0.157 0.843 0.500 La
0.843 0.157 0.500 La
0.332 0.668 0.000 Dy
0.668 0.332 0.000 Dy
0.000 0.000 0.000 Ac
```

N(E_F) in states/eV/cell: 7.4
Space-group type: C2/m
Energy relative to the elements, uncorrected in meV per atom: -1466

=====

# 4
The following is a PBE calculation of an optimized crystal structure of MgZrIrPt, from Alexandria via LeMat-Bulk.

```
MgZrIrPt
1.0
4.599 0.000 0.000
2.299 3.983 0.000
2.299 1.328 3.755
Pt Zr Mg Ir
1 1 1 1
Direct
0.250 0.250 0.250 Pt
0.000 0.000 0.000 Zr
0.500 0.500 0.500 Mg
0.750 0.750 0.750 Ir
```

N(E_F) in states/eV/cell: 2.4
E_form in eV per formula unit: -3.29
Space-group type: F-43m
Offset from the most stable computed form in meV/atom: 16

=====

# 5
The following is a PBE calculation of an optimized crystal structure of NaTl2HgCl8, from Alexandria via LeMat-Bulk.

```
NaTl2HgCl8
1.0
-2.779 1.827 -7.207
2.784 -7.429 -0.269
-5.786 0.573 5.404
Hg Cl Na Tl
1 8 1 2
Direct
0.250 0.750 0.500 Hg
0.303 0.521 0.219 Cl
0.928 0.629 0.701 Cl
0.773 0.072 0.701 Cl
0.371 0.072 0.299 Cl
0.303 0.084 0.781 Cl
0.928 0.227 0.299 Cl
0.479 0.697 0.781 Cl
0.916 0.697 0.219 Cl
0.000 0.000 0.000 Na
0.500 0.500 0.000 Tl
0.750 0.250 0.500 Tl
```

N(E_F) in states/eV/cell: 3.7
Space-group type: I-4m2
Energy relative to the elements, uncorrected in meV per atom: -767

=====

# 6
The following is a PBE calculation of an optimized crystal structure of Ta2AlMo, from Alexandria via LeMat-Bulk.

```
Ta2AlMo
1.0
-1.552 3.503 -3.598
-5.049 1.418 0.344
4.470 -0.142 2.761
Mo Ta Al
1 2 1
Direct
0.250 0.750 0.500 Mo
0.016 0.016 0.000 Ta
0.484 0.484 0.000 Ta
0.750 0.250 0.500 Al
```

N(E_F) in states/eV/cell: 2.8
E_form in eV per formula unit: -0.56
Space-group type: Immm